Record 1
AcMn2BiO8 | GGA+U | relaxed

a b c (Å): 5.8165 5.8165 7.1632
angles (deg): 90.00 90.00 120.00
Last column: nearest neighbours and their distance in Å.
Space group P-3m1 (No. 164)
One atom of each set of equivalent atoms:
Ac  0.0000  0.0000  0.0000 [1 per cell]  6 O 2.49
Mn  0.3333  0.6667  0.3335 [2 per cell]  4 O 1.63-1.76
Bi  0.0000  0.0000  0.5000 [1 per cell]  6 O 2.44
O  0.1681  0.3363  0.2549 [6 per cell]  1 Mn 1.76
O  0.3333  0.6667  0.5606 [2 per cell]  1 Mn 1.63

Total energy: -6.64 eV/atom

---

Record 2
Ac2MnBi2O2 | GGA+U | relaxed

a b c (Å): 12.3679 4.3327 7.5629
angles (deg): 90.00 116.85 90.00
Last column: nearest neighbours and their distance in Å.
Space group C2/m (No. 12)
One atom of each set of equivalent atoms:
Ac  0.2149  0.0000  0.2696 [4 per cell]  3 O 2.49-2.50
Mn  0.0000  0.0000  0.5000 [2 per cell]  2 O 2.12
Bi  0.0374  0.5000  0.8284 [4 per cell]  1 Bi 3.12, 2 Mn 3.17, 1 Ac 3.46
O  0.1875  0.0000  0.5767 [4 per cell]  1 Mn 2.12

Total energy: -6.48 eV/atom

---

Record 3
AcMnBiO6 | GGA+U | relaxed

a b c (Å): 5.7395 5.7395 4.6974
angles (deg): 90.00 90.00 120.00
Last column: nearest neighbours and their distance in Å.
Space group P312 (No. 149)
One atom of each set of equivalent atoms:
Ac  0.0000  0.0000  0.0000 [1 per cell]  6 O 2.42
Mn  0.6667  0.3333  0.0000 [1 per cell]  6 O 1.95
Bi  0.3333  0.6667  0.5000 [1 per cell]  6 O 2.37
O  0.3948  0.0429  0.7669 [6 per cell]  1 Mn 1.95

Total energy: -6.45 eV/atom

---

Record 4
AcMnBi2O6 | GGA+U | relaxed

a b c (Å): 5.9243 5.9571 5.9806
angles (deg): 69.02 67.92 60.37
Last column: nearest neighbours and their distance in Å.
Space group P1 (No. 1)
One atom of each set of equivalent atoms:
Ac  0.0000  0.0000  0.0000 [1 per cell]  6 O 2.47-2.59
Mn  0.5496  0.5012  0.4672 [1 per cell]  4 O 1.95-1.98
Bi  0.1951  0.3023  0.3013 [1 per cell]  3 O 2.19-2.28
Bi  0.6988  0.8262  0.7057 [1 per cell]  3 O 2.16-2.26
O  0.2500  0.6348  0.3225 [1 per cell]  1 Mn 1.95
O  0.3778  0.7929  0.6399 [1 per cell]  1 Mn 1.97, 1 Bi 2.19
O  0.3786  0.1123  0.9183 [1 per cell]  1 Bi 2.16
O  0.6811  0.1647  0.3742 [1 per cell]  1 Mn 1.97
O  0.8388  0.3478  0.6376 [1 per cell]  1 Mn 1.98
O  0.8676  0.6149  0.1318 [1 per cell]  1 Bi 2.19, 1 Mn 2.34

Total energy: -6.69 eV/atom